# 1
First-principles (PBE) data for an optimized crystal structure of Ca2AcPd4, as listed in the Alexandria database.

Cell and atoms, written as POSCAR:
```
Ca2AcPd4
1.0
4.3161 0.0000 -0.9841
-0.2094 3.9311 -0.9184
-0.0156 0.2310 9.8889
Ca Ac Pd
2 1 4
Cartesian
3.3242 3.3353 4.6226
0.7670 0.8267 3.3639
2.1581 0.0000 -0.4920
2.6747 2.6352 1.7739
1.4165 1.5268 6.2126
0.1810 2.2734 0.7937
3.9102 1.8886 7.1928
```

Calculated values
ΔE_f, eV/atom: -0.72
M_tot, μB/f.u.: 0.0
D(E_F), states/eV/atom: 0.3998
Space group: No. 71


# 2
First-principles (PBE) data for an optimized crystal structure of Ca2Ac2Pd3, as listed in the Alexandria database.

Cell and atoms, written as POSCAR:
```
Ca2Ac2Pd3
1.0
4.3904 0.0000 -1.1704
-0.2033 6.0160 -0.7626
-0.2616 0.1992 7.8387
Ca Ac Pd
2 2 3
Cartesian
0.2969 3.7075 1.1138
3.6286 2.5077 4.7920
1.2044 5.4679 4.5180
2.7212 0.7473 1.3878
0.0000 0.0000 0.0000
0.9623 2.1932 3.6099
2.9632 4.0220 2.2959
```

Calculated values
ΔE_f, eV/atom: -0.65
M_tot, μB/f.u.: 0.0
D(E_F), states/eV/atom: 0.5764
Space group: No. 12
Energy above the most stable polymorph in this dataset, eV/atom: 0.000


# 3
First-principles (PBE) data for an optimized crystal structure of Ca5AcPd6, as listed in the Alexandria database.

Cell and atoms, written as POSCAR:
```
Ca5AcPd6
1.0
4.7982 -0.0286 1.6124
0.0388 7.2222 0.0129
0.0245 -0.0144 7.9919
Ca Ac Pd
5 1 6
Cartesian
3.2376 3.5824 6.4073
1.5803 -0.0144 3.2782
0.0194 3.6111 0.0065
3.2424 -0.0287 6.3262
1.6240 3.5968 3.2100
0.0000 0.0000 0.0000
4.0325 5.3570 4.0144
4.0135 1.8079 4.0081
2.4090 1.8219 0.8095
2.4280 5.3717 0.8159
0.8481 5.3712 5.6092
0.8291 1.8222 5.6029
```

Calculated values
ΔE_f, eV/atom: -0.69
M_tot, μB/f.u.: 0.0
D(E_F), states/eV/atom: 0.2790
Space group: No. 10


# 4
First-principles (PBE) data for an optimized crystal structure of Ca2Ac3Pd2, as listed in the Alexandria database.

Cell and atoms, written as POSCAR:
```
Ca2Ac3Pd2
1.0
-3.7681 -0.3423 1.5210
-0.5977 -6.6312 2.4932
1.4582 0.2721 9.1403
Ca Ac Pd
2 3 2
Cartesian
-0.6682 -3.0656 3.1211
-2.2394 -3.6359 10.0333
-1.8840 -0.1712 0.7605
-1.2830 -5.2924 6.5633
-1.6246 -1.4091 6.5912
-0.0815 -5.8091 9.4237
-2.8261 -0.8924 3.7307
```

Calculated values
ΔE_f, eV/atom: -0.46
M_tot, μB/f.u.: 0.0
D(E_F), states/eV/atom: 0.8764
Space group: No. 12


# 5
First-principles (PBE) data for an optimized crystal structure of Ca2Ac5Pd5, as listed in the Alexandria database.

Cell and atoms, written as POSCAR:
```
Ca2Ac5Pd5
1.0
4.2482 0.0000 0.0000
-2.1241 6.9741 -1.9622
0.0000 0.2828 12.8921
Ca Ac Pd
2 5 5
Cartesian
0.0000 0.7644 9.9594
2.1241 6.4925 0.9705
2.1241 0.1414 6.4461
2.1241 2.1356 0.0016
2.1241 3.4668 3.6380
0.0000 3.7901 7.2919
0.0000 5.1213 10.9283
0.0000 1.7393 4.9841
2.1241 3.0438 9.7243
0.0000 4.2131 1.2056
2.1241 5.5176 5.9458
0.0000 0.0000 0.0000
```

Calculated values
ΔE_f, eV/atom: -0.64
M_tot, μB/f.u.: 0.0
D(E_F), states/eV/atom: 0.6932
Space group: No. 12


# 6
First-principles (PBE) data for an optimized crystal structure of Ca2Ac2PdPt2, as listed in the Alexandria database.

Cell and atoms, written as POSCAR:
```
Ca2Ac2PdPt2
1.0
-0.7691 1.3330 -3.7455
-6.6973 -3.0756 -1.9125
-6.8145 3.7022 2.7183
Ca Ac Pd Pt
2 2 1 2
Cartesian
-8.2944 2.3053 -1.8554
-5.9864 -0.3457 -1.0844
-11.7804 0.6857 -1.7181
-2.5004 1.2738 -1.2216
0.0000 0.0000 0.0000
-5.2868 2.1813 -2.5175
-8.9941 -0.2218 -0.4222
```

Calculated values
ΔE_f, eV/atom: -0.83
M_tot, μB/f.u.: 0.0
D(E_F), states/eV/atom: 0.5054
Space group: No. 12


# 7
First-principles (PBE) data for an optimized crystal structure of Ca2AcPdRh, as listed in the Alexandria database.

Cell and atoms, written as POSCAR:
```
Ca2AcPdRh
1.0
-4.0114 2.5965 2.2881
-1.6697 -4.5200 2.2020
3.3299 1.0392 4.6585
Ca Ac Pd Rh
2 1 1 1
Cartesian
2.3047 -1.2802 5.4932
-0.5358 -2.2419 7.7382
-0.0680 -4.0201 4.4428
-0.7524 -0.3103 5.1665
0.0208 0.0064 0.0291
```

Calculated values
ΔE_f, eV/atom: -0.25
M_tot, μB/f.u.: 0.0
D(E_F), states/eV/atom: 0.8316
Space group: No. 99


# 8
First-principles (PBE) data for an optimized crystal structure of CaAc2Sb3Pd6, as listed in the Alexandria database.

Cell and atoms, written as POSCAR:
```
CaAc2Sb3Pd6
1.0
4.4087 0.0000 0.0000
0.0000 4.4087 0.0000
0.0000 0.0000 16.7947
Ca Ac Sb Pd
1 2 3 6
Cartesian
2.2044 2.2044 8.3973
2.2044 2.2044 3.3474
2.2044 2.2044 13.4473
0.0000 0.0000 5.0724
0.0000 0.0000 11.7223
0.0000 0.0000 0.0000
0.0000 2.2044 10.3669
2.2044 0.0000 6.4277
2.2044 0.0000 10.3669
0.0000 0.0000 2.4930
0.0000 2.2044 6.4277
0.0000 0.0000 14.3017
```

Calculated values
M_tot, μB/f.u.: 0.0
D(E_F), states/eV/atom: 0.6481
Space group: No. 123
ΔE_f (raw), eV per atom: -0.530